1.
A relaxed structure of VAuSCl2. Source: Alexandria, functional PBE.

Structure (extended XYZ):
```
5
Lattice="-4.4947 1.1182 0.7336 -1.3284 -4.0303 -1.9958 0.1523 -2.0905 4.1202" Properties=species:S:1:pos:R:3 pbc="T T T"
Au -2.8354 -2.5013 1.4290
Cl -0.6642 -2.0151 -0.9979
S 0.0762 -1.0453 2.0601
Cl -2.2474 0.5591 0.3668
V 0.0000 0.0000 0.0000
```

Calculated values
total magnetization	0.012	μB per atom
ΔE to the lowest computed polymorph	0	meV/atom
space-group type	No. 123
energy relative to the elements, uncorrected	-11.3	kJ/mol of atoms

***

2.
A relaxed structure of VAuSCl2. Source: Alexandria, functional PBE.

Structure (extended XYZ):
```
5
Lattice="-4.4545 -1.0284 1.6431 1.7453 -3.9197 2.2783 0.8914 2.8317 4.1890" Properties=species:S:1:pos:R:3 pbc="T T T"
V -0.9089 -1.0582 4.0552
Cl 0.8727 -1.9598 1.1391
Au 0.0000 0.0000 0.0000
S 0.4457 1.4159 2.0945
Cl -2.2273 -0.5142 0.8216
```

Calculated values
total magnetization	0.649	μB per atom
ΔE to the lowest computed polymorph	555	meV/atom
space-group type	No. 123
energy relative to the elements, uncorrected	42.2	kJ/mol of atoms

***

3.
A relaxed structure of WAuS2Cl. Source: Alexandria, functional PBE.

Structure (extended XYZ):
```
5
Lattice="-4.4232 0.5845 -2.0112 1.3747 -2.7353 -3.8184 -1.5208 -3.8652 2.2213" Properties=species:S:1:pos:R:3 pbc="T T T"
Au 0.0000 0.0000 0.0000
S 0.6874 -1.3676 -1.9092
S -2.2116 0.2923 -1.0056
Cl -0.7604 -1.9326 1.1106
W -2.2846 -3.0080 -1.8042
```

Calculated values
total magnetization	0.709	μB per atom
ΔE to the lowest computed polymorph	1077	meV/atom
space-group type	No. 123
energy relative to the elements, uncorrected	131.0	kJ/mol of atoms

***

4.
A relaxed structure of WAuS2Cl. Source: Alexandria, functional PBE.

Structure (extended XYZ):
```
5
Lattice="-1.1041 3.9104 -2.3259 1.9609 -1.7508 -3.8743 -4.2170 -1.9389 -1.2581" Properties=species:S:1:pos:R:3 pbc="T T T"
Au -1.6801 0.1103 -3.7292
Cl -2.1085 -0.9695 -0.6291
S -0.5520 1.9552 -1.1630
S 0.9804 -0.8754 -1.9371
W 0.0000 0.0000 0.0000
```

Calculated values
total magnetization	0.000	μB per atom
ΔE to the lowest computed polymorph	0	meV/atom
space-group type	No. 123
energy relative to the elements, uncorrected	27.1	kJ/mol of atoms

***

5.
A relaxed structure of YAuSCl2. Source: Alexandria, functional PBE.

Structure (extended XYZ):
```
5
Lattice="-4.0903 -2.8635 1.3174 2.9429 -2.6962 3.2765 -1.1881 3.5211 3.9646" Properties=species:S:1:pos:R:3 pbc="T T T"
Au -1.1677 -1.0193 4.2793
Y 0.0000 0.0000 0.0000
S -0.5941 1.7605 1.9823
Cl 1.4714 -1.3481 1.6383
Cl -2.0451 -1.4318 0.6587
```

Calculated values
total magnetization	0.000	μB per atom
ΔE to the lowest computed polymorph	0	meV/atom
space-group type	No. 123
energy relative to the elements, uncorrected	-85.6	kJ/mol of atoms

***

6.
A relaxed structure of YAuSCl2. Source: Alexandria, functional PBE.

Structure (extended XYZ):
```
5
Lattice="4.9937 0.0000 0.0000 0.0000 4.9937 0.0000 0.0000 0.0000 4.9516" Properties=species:S:1:pos:R:3 pbc="T T T"
S 0.0000 0.0000 2.4758
Y 2.4969 2.4969 2.4758
Cl 0.0000 2.4969 0.0000
Cl 2.4969 0.0000 0.0000
Au 0.0000 0.0000 0.0000
```

Calculated values
total magnetization	0.000	μB per atom
ΔE to the lowest computed polymorph	521	meV/atom
space-group type	No. 123
energy relative to the elements, uncorrected	-35.3	kJ/mol of atoms

***

7.
A relaxed structure of ZnAuSCl2. Source: Alexandria, functional PBE.

Structure (extended XYZ):
```
5
Lattice="-4.4585 -0.2352 1.5209 0.2842 -4.7069 0.1051 1.6068 0.2029 4.7417" Properties=species:S:1:pos:R:3 pbc="T T T"
S 0.8034 0.1015 2.3709
Cl 0.1421 -2.3534 0.0526
Au -1.2838 -2.3696 3.1839
Zn 0.0000 0.0000 0.0000
Cl -2.2292 -0.1176 0.7605
```

Calculated values
total magnetization	0.194	μB per atom
ΔE to the lowest computed polymorph	0	meV/atom
space-group type	No. 123
energy relative to the elements, uncorrected	16.0	kJ/mol of atoms

***

8.
A relaxed structure of ZrAuSCl2. Source: Alexandria, functional PBE.

Structure (extended XYZ):
```
5
Lattice="-4.7602 -0.1582 -1.3297 0.8682 -4.1029 -2.6201 -1.0266 -2.7752 4.0056" Properties=species:S:1:pos:R:3 pbc="T T T"
Zr -2.4593 -3.5182 0.0279
S -0.5133 -1.3876 2.0028
Cl 0.4341 -2.0514 -1.3101
Au 0.0000 0.0000 0.0000
Cl -2.3801 -0.0791 -0.6648
```

Calculated values
total magnetization	0.379	μB per atom
ΔE to the lowest computed polymorph	893	meV/atom
space-group type	No. 123
energy relative to the elements, uncorrected	24.8	kJ/mol of atoms

***

9.
A relaxed structure of ZrAuSCl2. Source: Alexandria, functional PBE.

Structure (extended XYZ):
```
5
Lattice="-3.2239 -0.0480 -3.8571 -2.0484 -4.2383 1.7648 -3.2490 2.6871 2.6822" Properties=species:S:1:pos:R:3 pbc="T T T"
Cl -1.6119 -0.0240 -1.9286
Au -4.2606 -0.7996 0.2949
Zr 0.0000 0.0000 0.0000
S -1.6245 1.3436 1.3411
Cl -1.0242 -2.1191 0.8824
```

Calculated values
total magnetization	0.000	μB per atom
ΔE to the lowest computed polymorph	0	meV/atom
space-group type	No. 123
energy relative to the elements, uncorrected	-61.4	kJ/mol of atoms

***

10.
A relaxed structure of Sb2AuCl. Source: Alexandria, functional PBE.

Structure (extended XYZ):
```
4
Lattice="4.6771 0.0000 0.0000 0.0000 4.5135 0.0000 0.0000 0.0000 4.5135" Properties=species:S:1:pos:R:3 pbc="T T T"
Sb 0.0000 0.0000 0.0000
Cl 2.3385 0.0000 2.2568
Au 2.3385 2.2568 0.0000
Sb 0.0000 2.2568 2.2568
```

Calculated values
total magnetization	0.000	μB per atom
ΔE to the lowest computed polymorph	462	meV/atom
space-group type	No. 123
energy relative to the elements, uncorrected	21.3	kJ/mol of atoms

***

11.
A relaxed structure of SbAu2Cl. Source: Alexandria, functional PBE.

Structure (extended XYZ):
```
4
Lattice="5.2750 0.0000 0.0000 0.0000 5.2750 0.0000 0.0000 0.0000 3.0646" Properties=species:S:1:pos:R:3 pbc="T T T"
Au 2.6375 2.6375 0.0000
Cl 2.6375 0.0000 1.5323
Au 0.0000 0.0000 0.0000
Sb 0.0000 2.6375 1.5323
```

Calculated values
total magnetization	0.000	μB per atom
ΔE to the lowest computed polymorph	344	meV/atom
space-group type	No. 123
energy relative to the elements, uncorrected	22.9	kJ/mol of atoms

***

12.
A relaxed structure of Sb2AuCl. Source: Alexandria, functional PBE.

Structure (extended XYZ):
```
4
Lattice="5.0906 -0.0388 0.0000 0.0116 5.0907 0.0000 -2.5511 -2.5260 3.6093" Properties=species:S:1:pos:R:3 pbc="T T T"
Cl 2.5453 -0.0194 1.8046
Sb 0.0058 2.5454 1.8046
Sb 0.0000 0.0000 0.0000
Au 2.5511 2.5260 0.0000
```

Calculated values
total magnetization	0.000	μB per atom
ΔE to the lowest computed polymorph	334	meV/atom
space-group type	No. 119
energy relative to the elements, uncorrected	8.9	kJ/mol of atoms